(1)
An optimized crystal structure of BaPr2Dy. Source: the Alexandria database, functional PBE.

Results
The calculation puts the energy of formation from the pure elements at 0.10 eV per atom. The total magnetic moment comes out at 0.0 μB/f.u. The value obtained for the energy above the most stable polymorph in this dataset is 0.000 eV/atom. As for the crystal system: tetragonal.

a b c (Å): 3.785 3.785 10.957
angles (deg): 90.00 90.00 90.00
Positions (direct):
Pr 0.000 0.000 0.783
Pr 0.000 0.000 0.217
Ba 0.500 0.500 0.500
Dy 0.500 0.500 0.000



(2)
An optimized crystal structure of TcIrBr2. Source: the Alexandria database, functional PBE.

Results
Its raw formation energy is 427 meV/atom. The total magnetic moment comes out at 0.4 μB/f.u. The value obtained for the energy above the most stable polymorph in this dataset is 0.261 eV/atom. As for the crystal system: trigonal.

a b c (Å): 10.106 10.106 10.106
angles (deg): 17.49 17.49 17.49
Last column: magnetic moment on the atom in μB.
Positions (direct):
Ir 0.489 0.489 0.489  0.07
Tc 0.757 0.757 0.757  0.32
Br 0.025 0.025 0.025  0.02
Br 0.230 0.230 0.230  -0.02